Nd2CdGa4Cu3: optimized geometry, GGA-PBE.

Cell: 4.2731 4.2731 10.4502 Å, 90.00 90.00 90.00°
Atoms (fractional coordinates):
Cd: 0.5000 0.5000 0.5000
Ga: 0.0000 0.0000 0.0000
Nd: 0.0000 0.5000 0.7596
Cu: 0.0000 0.0000 0.5000
Ga: 0.0000 0.5000 0.3499
Ga: 0.5000 0.5000 0.0000
Ga: 0.5000 0.0000 0.6501
Nd: 0.5000 0.0000 0.2404
Cu: 0.0000 0.5000 0.1212
Cu: 0.5000 0.0000 0.8788

Summary:
- energy relative to the elements (eV/atom) = -0.420
- space-group type = P-4m2 (115)

NdCdGaCu: optimized geometry, GGA-PBE.

Cell: 4.8806 4.8806 4.8806 Å, 60.00 60.00 60.00°
Atoms (fractional coordinates):
Cu: 0.0000 0.0000 0.0000
Ga: 0.5000 0.5000 0.5000
Nd: 0.7500 0.7500 0.7500
Cd: 0.2500 0.2500 0.2500

Summary:
- energy relative to the elements (eV/atom) = -0.304
- space-group type = F-43m (216)

Cd2GaCuNi: optimized geometry, GGA-PBE.

Cell: 4.9299 4.5505 4.9299 Å, 90.00 90.00 90.00°
Atoms (fractional coordinates):
Cu: 0.0000 0.5000 0.0000
Cd: 0.0000 0.0000 0.5000
Ga: 0.5000 0.5000 0.5000
Ni: 0.0000 0.0000 0.0000
Cd: 0.5000 0.0000 0.0000

Summary:
- energy relative to the elements (eV/atom) = 0.429
- space-group type = P4/mmm (123)

Ordered volume results: 19.1 20.6 22.1; unit Å³/atom.
Ordered total magnetization results: 0.00 0.00 0.00; unit μB per cell.